Density functional theory data (PBE) for CaTiAsS2 after structural relaxation.

Space group: P4/mmm (123)
Size of the total moment, μB/cell: 0.63
Formation energy without anion corrections, meV/atom: -294.7
Total DFT energy (no corrections), eV/atom: -4.855
Density of states at the Fermi level, states/eV/atom: 0.790

a = 4.5451 Å, b = 7.3240 Å, c = 4.5451 Å
α = 90.00°, β = 90.00°, γ = 90.00°
Element x y z (fractional)
Ca 0.0000 0.5000 0.0000
As 0.5000 0.5000 0.5000
Ti 0.0000 0.0000 0.0000
S 0.5000 0.0000 0.0000
S 0.0000 0.0000 0.5000